Entry 1:
Compound: NaLaDyTl
Source: Alexandria
Functional: PBE
Structure: relaxed

Output
space group: No. 216
total DFT energy (no corrections): -3.388 eV/atom
Fermi-level density of states: 5.02 states/eV per cell
calculated formation energy: -0.3 eV per formula unit
total moment: 0.00 μB/cell
volume: 120.6 Å³/f.u.

a = 5.545 Å, b = 5.545 Å, c = 5.545 Å
α = 60.00°, β = 60.00°, γ = 60.00°
Sites, in units of the cell vectors:
Na1 0.000 0.000 0.000
La1 0.750 0.750 0.750
Dy1 0.250 0.250 0.250
Tl1 0.500 0.500 0.500

=====

Entry 2:
Compound: NaLaDy2Tl4
Source: Alexandria
Functional: PBE
Structure: relaxed

Output
space group: No. 166
total DFT energy (no corrections): -3.417 eV/atom
Fermi-level density of states: 5.31 states/eV per cell
calculated formation energy: -2.4 eV per formula unit
total moment: 0.00 μB/cell
volume: 227.5 Å³/f.u.

a = 9.582 Å, b = 9.582 Å, c = 9.582 Å
α = 32.63°, β = 32.63°, γ = 32.63°
Sites, in units of the cell vectors:
Na1 0.000 0.000 0.000
La1 0.500 0.500 0.500
Dy1 0.255 0.255 0.255
Dy2 0.745 0.745 0.745
Tl1 0.122 0.122 0.122
Tl2 0.373 0.373 0.373
Tl3 0.627 0.627 0.627
Tl4 0.878 0.878 0.878

=====

Entry 3:
Compound: LaDyNb
Source: Alexandria
Functional: PBE
Structure: relaxed

Output
space group: No. 129
total DFT energy (no corrections): -6.437 eV/atom
Fermi-level density of states: 8.52 states/eV per cell
calculated formation energy: 0.3 eV per formula unit
total moment: 0.00 μB/cell
volume: 85.3 Å³/f.u.

a = 3.544 Å, b = 3.544 Å, c = 13.575 Å
α = 90.00°, β = 90.00°, γ = 90.00°
Sites, in units of the cell vectors:
La1 0.250 0.250 0.101
La2 0.750 0.750 0.899
Dy1 0.250 0.250 0.693
Dy2 0.750 0.750 0.307
Nb1 0.250 0.250 0.454
Nb2 0.750 0.750 0.546

=====

Entry 4:
Compound: LaDyNbO6
Source: Alexandria
Functional: PBE
Structure: relaxed

Output
space group: No. 5
total DFT energy (no corrections): -8.349 eV/atom
raw formation energy: -2866 meV/atom
Fermi-level density of states: 0.57 states/eV per cell
total moment: 1.03 μB/cell
volume: 140.6 Å³/f.u.

a = 5.737 Å, b = 5.737 Å, c = 5.030 Å
α = 90.18°, β = 90.18°, γ = 121.86°
Sites, in units of the cell vectors:
La1 0.000 0.000 0.000
Dy1 0.679 0.321 0.500
Nb1 0.358 0.642 0.500
O1 0.033 0.355 0.282
O2 0.056 0.681 0.702
O3 0.319 0.944 0.298
O4 0.358 0.369 0.728
O5 0.631 0.642 0.272
O6 0.645 0.967 0.718

=====

Entry 5:
Compound: LaNdDy4
Source: Alexandria
Functional: PBE
Structure: relaxed

Output
space group: No. 15
total DFT energy (no corrections): -4.540 eV/atom
energy above the lowest structure with this stoichiometry: 0.72 eV per formula unit
Fermi-level density of states: 20.70 states/eV per cell
calculated formation energy: 0.9 eV per formula unit
total moment: 0.00 μB/cell
volume: 204.3 Å³/f.u.

a = 8.682 Å, b = 8.682 Å, c = 6.531 Å
α = 99.91°, β = 99.91°, γ = 118.25°
Sites, in units of the cell vectors:
La1 0.083 0.917 0.750
La2 0.917 0.083 0.250
Nd1 0.500 0.500 0.250
Nd2 0.500 0.500 0.750
Dy1 0.069 0.339 0.882
Dy2 0.213 0.604 0.466
Dy3 0.339 0.069 0.382
Dy4 0.396 0.787 0.034
Dy5 0.604 0.213 0.966
Dy6 0.661 0.931 0.618
Dy7 0.787 0.396 0.534
Dy8 0.931 0.661 0.118

=====

Entry 6:
Compound: La3Nd3Dy2
Source: Alexandria
Functional: PBE
Structure: relaxed

Output
space group: No. 2
total DFT energy (no corrections): -4.766 eV/atom
Fermi-level density of states: 14.54 states/eV per cell
calculated formation energy: 0.2 eV per formula unit
total moment: 0.00 μB/cell
volume: 280.4 Å³/f.u.

a = 6.352 Å, b = 6.370 Å, c = 8.207 Å
α = 105.17°, β = 104.94°, γ = 109.16°
Sites, in units of the cell vectors:
La1 0.000 0.000 0.000
La2 0.126 0.626 0.253
La3 0.874 0.374 0.747
Nd1 0.373 0.873 0.746
Nd2 0.500 0.500 0.000
Nd3 0.627 0.127 0.254
Dy1 0.250 0.250 0.500
Dy2 0.750 0.750 0.500

=====

Entry 7:
Compound: LaNd6Dy3
Source: Alexandria
Functional: PBE
Structure: relaxed

Output
space group: No. 36
total DFT energy (no corrections): -4.596 eV/atom
energy above the lowest structure with this stoichiometry: 0.15 eV per formula unit
Fermi-level density of states: 28.74 states/eV per cell
calculated formation energy: 1.4 eV per formula unit
total moment: 0.00 μB/cell
volume: 342.5 Å³/f.u.

a = 11.151 Å, b = 11.151 Å, c = 6.380 Å
α = 90.00°, β = 90.00°, γ = 120.29°
Sites, in units of the cell vectors:
La1 0.189 0.811 0.500
La2 0.811 0.189 0.000
Nd1 0.037 0.963 0.728
Nd2 0.055 0.472 0.223
Nd3 0.282 0.718 0.952
Nd4 0.293 0.373 0.048
Nd5 0.373 0.293 0.548
Nd6 0.472 0.055 0.723
Nd7 0.528 0.945 0.223
Nd8 0.627 0.707 0.048
Nd9 0.707 0.627 0.548
Nd10 0.718 0.282 0.452
Nd11 0.945 0.528 0.723
Nd12 0.963 0.037 0.228
Dy1 0.060 0.291 0.635
Dy2 0.291 0.060 0.135
Dy3 0.383 0.617 0.507
Dy4 0.617 0.383 0.007
Dy5 0.709 0.940 0.635
Dy6 0.940 0.709 0.135

=====

Entry 8:
Compound: La7Nd4Dy
Source: Alexandria
Functional: PBE
Structure: relaxed

Output
space group: No. 2
total DFT energy (no corrections): -4.832 eV/atom
energy above the lowest structure with this stoichiometry: 0.00 eV per formula unit
Fermi-level density of states: 18.57 states/eV per cell
calculated formation energy: 0.2 eV per formula unit
total moment: 0.00 μB/cell
volume: 433.0 Å³/f.u.

a = 6.468 Å, b = 7.458 Å, c = 9.233 Å
α = 89.88°, β = 76.47°, γ = 89.97°
Sites, in units of the cell vectors:
La1 0.000 0.000 0.000
La2 0.221 0.499 0.332
La3 0.279 0.750 0.669
La4 0.500 0.253 0.000
La5 0.500 0.747 0.000
La6 0.721 0.250 0.331
La7 0.779 0.501 0.668
Nd1 0.225 0.000 0.332
Nd2 0.275 0.250 0.672
Nd3 0.725 0.750 0.328
Nd4 0.775 0.000 0.668
Dy1 0.000 0.500 0.000

=====

Entry 9:
Compound: La2Nd2Dy7
Source: Alexandria
Functional: PBE
Structure: relaxed

Output
space group: No. 65
total DFT energy (no corrections): -4.348 eV/atom
energy above the lowest structure with this stoichiometry: 2.10 eV per formula unit
Fermi-level density of states: 18.49 states/eV per cell
calculated formation energy: 3.8 eV per formula unit
total moment: 0.28 μB/cell
volume: 380.4 Å³/f.u.

a = 6.953 Å, b = 6.953 Å, c = 9.443 Å
α = 90.00°, β = 90.00°, γ = 123.57°
Sites, in units of the cell vectors:
La1 0.249 0.249 0.000
La2 0.751 0.751 0.000
Nd1 0.228 0.772 0.500
Nd2 0.772 0.228 0.500
Dy1 0.000 0.000 0.319
Dy2 0.000 0.000 0.681
Dy3 0.000 0.500 0.181
Dy4 0.000 0.500 0.819
Dy5 0.500 0.000 0.181
Dy6 0.500 0.000 0.819
Dy7 0.500 0.500 0.500

=====

Entry 10:
Compound: La6Nd8Dy
Source: Alexandria
Functional: PBE
Structure: relaxed

Output
space group: No. 148
total DFT energy (no corrections): -4.722 eV/atom
Fermi-level density of states: 24.98 states/eV per cell
calculated formation energy: 1.5 eV per formula unit
total moment: 0.00 μB/cell
volume: 541.2 Å³/f.u.

a = 8.937 Å, b = 8.937 Å, c = 8.937 Å
α = 63.26°, β = 63.26°, γ = 63.26°
Sites, in units of the cell vectors:
La1 0.037 0.595 0.739
La2 0.261 0.963 0.405
La3 0.405 0.261 0.963
La4 0.595 0.739 0.037
La5 0.739 0.037 0.595
La6 0.963 0.405 0.261
Nd1 0.077 0.077 0.077
Nd2 0.208 0.614 0.260
Nd3 0.260 0.208 0.614
Nd4 0.386 0.740 0.792
Nd5 0.614 0.260 0.208
Nd6 0.740 0.792 0.386
Nd7 0.792 0.386 0.740
Nd8 0.923 0.923 0.923
Dy1 0.500 0.500 0.500

=====

Entry 11:
Compound: La2Nd3Dy
Source: Alexandria
Functional: PBE
Structure: relaxed

Output
space group: No. 15
total DFT energy (no corrections): -4.670 eV/atom
energy above the lowest structure with this stoichiometry: 0.00 eV per formula unit
Fermi-level density of states: 16.81 states/eV per cell
calculated formation energy: 0.7 eV per formula unit
total moment: 0.00 μB/cell
volume: 213.8 Å³/f.u.

a = 9.407 Å, b = 9.407 Å, c = 7.128 Å
α = 100.92°, β = 100.92°, γ = 43.82°
Sites, in units of the cell vectors:
La1 0.165 0.182 0.088
La2 0.182 0.165 0.588
La3 0.818 0.835 0.412
La4 0.835 0.818 0.912
Nd1 0.235 0.765 0.250
Nd2 0.353 0.366 0.432
Nd3 0.366 0.353 0.932
Nd4 0.634 0.647 0.068
Nd5 0.647 0.634 0.568
Nd6 0.765 0.235 0.750
Dy1 0.239 0.761 0.750
Dy2 0.761 0.239 0.250

=====

Entry 12:
Compound: La3Nd8Dy4
Source: Alexandria
Functional: PBE
Structure: relaxed

Output
space group: No. 12
total DFT energy (no corrections): -4.439 eV/atom
Fermi-level density of states: 25.17 states/eV per cell
calculated formation energy: 4.7 eV per formula unit
total moment: 0.00 μB/cell
volume: 528.3 Å³/f.u.

a = 9.355 Å, b = 9.355 Å, c = 6.974 Å
α = 111.52°, β = 111.52°, γ = 82.56°
Sites, in units of the cell vectors:
La1 0.000 0.000 0.000
La2 0.000 0.500 0.500
La3 0.500 0.000 0.500
Nd1 0.204 0.204 0.676
Nd2 0.206 0.794 0.500
Nd3 0.252 0.748 0.000
Nd4 0.253 0.253 0.200
Nd5 0.747 0.747 0.800
Nd6 0.748 0.252 0.000
Nd7 0.794 0.206 0.500
Nd8 0.796 0.796 0.324
Dy1 0.000 0.500 0.000
Dy2 0.500 0.000 0.000
Dy3 0.500 0.500 0.000
Dy4 0.500 0.500 0.500

=====

Q: The lowest Fermi-level density of states belongs to which entry?
A: LaDyNbO6